# 1
Here is Tl3SbO after structural relaxation from Alexandria. Energies are from GGA-PBE.

Results
As for the crystal system: cubic. Its total magnetization is 0.00 μB per cell. The formation energy from raw total energies is -0.5 eV per formula unit. For the volume, the calculation gives 131.5 Å³ per cell.

Unit cell a=5.0847 b=5.0847 c=5.0847 alpha=90.00 beta=90.00 gamma=90.00
Sites, in units of the cell vectors:
Tl (0.5000, 0.0000, 0.0000)
Tl (0.0000, 0.5000, 0.0000)
Tl (0.0000, 0.0000, 0.5000)
O (0.0000, 0.0000, 0.0000)
Sb (0.5000, 0.5000, 0.5000)

=====

# 2
Here is TlC3 after structural relaxation from Alexandria. Energies are from GGA-PBE.

Results
As for the crystal system: hexagonal. Its total magnetization is 0.00 μB per cell. For the volume, the calculation gives 204.2 Å³ per cell. For the formation energy, the calculation gives 2.78 eV per atom.

Unit cell a=6.2260 b=6.2260 c=6.0817 alpha=90.00 beta=90.00 gamma=120.00
Sites, in units of the cell vectors:
C (0.2535, 0.5070, 0.7500)
C (0.2535, 0.7465, 0.7500)
C (0.5000, 0.0000, 0.0000)
C (0.5000, 0.5000, 0.5000)
C (0.0000, 0.5000, 0.5000)
C (0.4930, 0.7465, 0.7500)
C (0.0000, 0.5000, 0.0000)
C (0.5070, 0.2535, 0.2500)
C (0.5000, 0.5000, 0.0000)
C (0.5000, 0.0000, 0.5000)
C (0.7465, 0.2535, 0.2500)
C (0.7465, 0.4930, 0.2500)
Tl (0.0000, 0.0000, 0.0000)
Tl (0.0000, 0.0000, 0.5000)
Tl (0.3333, 0.6667, 0.2500)
Tl (0.6667, 0.3333, 0.7500)

=====

# 3
Here is KZn2Bi2 after structural relaxation from Alexandria. Energies are from GGA-PBE.

Results
As for the crystal system: tetragonal. Its total magnetization is 0.00 μB per cell. For the volume, the calculation gives 145.1 Å³ per cell. For the formation energy, the calculation gives -0.14 eV per atom.

Unit cell a=4.9330 b=4.9330 c=6.9074 alpha=69.08 beta=69.08 gamma=90.00
Sites, in units of the cell vectors:
Bi (0.7500, 0.2500, 0.5000)
Bi (0.2500, 0.7500, 0.5000)
Zn (0.3961, 0.3961, 0.2077)
Zn (0.6039, 0.6039, 0.7923)
K (0.0000, 0.0000, 0.0000)

=====

# 4
Here is Pm2Pu3Os2 after structural relaxation from Alexandria. Energies are from GGA-PBE.

Results
As for the crystal system: monoclinic. Its total magnetization is 16.11 μB per cell. For the volume, the calculation gives 174.1 Å³ per cell. For the formation energy, the calculation gives -0.05 eV per atom.

Unit cell a=4.0825 b=6.0324 c=8.2740 alpha=113.23 beta=90.00 gamma=109.77
Last column: magnetic moment on the atom in μB.
Sites, in units of the cell vectors:
Os (0.8475, 0.6950, 0.7704)  -0.45
Os (0.1525, 0.3050, 0.2296)  -0.45
Pu (0.5000, 0.0000, 0.0000)  5.06
Pu (0.6203, 0.2406, 0.4398)  5.21
Pu (0.3797, 0.7594, 0.5602)  5.21
Pm (0.1555, 0.3110, 0.8051)  0.17
Pm (0.8445, 0.6890, 0.1949)  0.17

=====

# 5
Here is TmScInCo after structural relaxation from Alexandria. Energies are from GGA-PBE.

Results
As for the crystal system: cubic. Its total magnetization is 1.04 μB per cell. For the volume, the calculation gives 83.0 Å³ per cell. For the formation energy, the calculation gives -0.23 eV per atom.

Unit cell a=4.8963 b=4.8963 c=4.8963 alpha=60.00 beta=60.00 gamma=60.00
Last column: magnetic moment on the atom in μB.
Sites, in units of the cell vectors:
Co (0.5000, 0.5000, 0.5000)  1.32
In (0.0000, 0.0000, 0.0000)  0.04
Sc (0.2500, 0.2500, 0.2500)  -0.13
Tm (0.7500, 0.7500, 0.7500)  -0.11

=====

# 6
Here is Ce4Cd2Sn after structural relaxation from Alexandria. Energies are from GGA-PBE.

Results
As for the crystal system: orthorhombic. Its total magnetization is 1.75 μB per cell. For the volume, the calculation gives 187.6 Å³ per cell. For the formation energy, the calculation gives -0.14 eV per atom.

Unit cell a=4.3627 b=3.3737 c=12.8584 alpha=97.54 beta=90.00 gamma=90.00
Last column: magnetic moment on the atom in μB.
Sites, in units of the cell vectors:
Ce (0.5000, 0.9258, 0.8516)  0.31
Ce (0.0000, 0.3697, 0.7395)  0.45
Ce (0.0000, 0.6303, 0.2605)  0.45
Ce (0.5000, 0.0742, 0.1484)  0.31
Cd (0.5000, 0.7959, 0.5918)  0.00
Cd (0.5000, 0.2041, 0.4082)  0.00
Sn (0.0000, 0.5000, 0.0000)  -0.01

=====

# 7
Here is ErTmSn4Ru2 after structural relaxation from Alexandria. Energies are from GGA-PBE.

Results
As for the crystal system: tetragonal. Its total magnetization is 0.00 μB per cell. For the volume, the calculation gives 196.7 Å³ per cell. For the formation energy, the calculation gives -0.23 eV per atom.

Unit cell a=4.4172 b=4.4172 c=10.0824 alpha=90.00 beta=90.00 gamma=90.00
Sites, in units of the cell vectors:
Sn (0.5000, 0.0000, 0.7721)
Sn (0.5000, 0.0000, 0.2279)
Sn (0.0000, 0.5000, 0.7721)
Sn (0.0000, 0.5000, 0.2279)
Ru (0.5000, 0.5000, 0.3851)
Ru (0.5000, 0.5000, 0.6149)
Er (0.0000, 0.0000, 0.5000)
Tm (0.0000, 0.0000, 0.0000)

=====

# 8
Here is HfCo2Sb after structural relaxation from Alexandria. Energies are from GGA-PBE.

Results
As for the crystal system: tetragonal. Its total magnetization is 1.94 μB per cell. The formation energy from raw total energies is 0.9 eV per formula unit. For the volume, the calculation gives 142.1 Å³ per cell.

Unit cell a=4.1242 b=4.1242 c=8.8470 alpha=76.52 beta=76.52 gamma=90.00
Last column: magnetic moment on the atom in μB.
Sites, in units of the cell vectors:
Co (0.3750, 0.3970, 0.7500)  0.54
Co (0.6030, 0.1250, 0.2500)  0.58
Co (0.1470, 0.6250, 0.2500)  0.59
Co (0.8750, 0.8530, 0.7500)  0.55
Sb (0.2500, 0.7500, 0.5000)  -0.01
Sb (0.5000, 0.5000, 0.0000)  -0.01
Hf (0.7500, 0.2500, 0.5000)  -0.10
Hf (0.0000, 0.0000, 0.0000)  -0.10

=====

# 9
Here is Ga2SiTcAg after structural relaxation from Alexandria. Energies are from GGA-PBE.

Results
As for the crystal system: tetragonal. Its total magnetization is 0.00 μB per cell. The formation energy from raw total energies is 4.6 eV per formula unit. For the volume, the calculation gives 115.8 Å³ per cell.

Unit cell a=4.7479 b=5.1360 c=4.7479 alpha=90.00 beta=90.00 gamma=90.00
Sites, in units of the cell vectors:
Ga (0.5000, 0.0000, 0.0000)
Ga (0.0000, 0.0000, 0.5000)
Si (0.5000, 0.5000, 0.5000)
Tc (0.0000, 0.0000, 0.0000)
Ag (0.0000, 0.5000, 0.0000)

=====

# 10
Here is SrMoRh2 after structural relaxation from Alexandria. Energies are from GGA-PBE.

Results
As for the crystal system: tetragonal. Its total magnetization is 0.00 μB per cell. For the volume, the calculation gives 72.2 Å³ per cell. For the formation energy, the calculation gives 0.32 eV per atom.

Unit cell a=2.9190 b=4.9720 c=4.9720 alpha=90.00 beta=90.00 gamma=90.00
Sites, in units of the cell vectors:
Rh (0.0000, 0.0000, 0.0000)
Rh (0.0000, 0.5000, 0.5000)
Sr (0.5000, 0.5000, 0.0000)
Mo (0.5000, 0.0000, 0.5000)

=====

# 11
Here is KScTe after structural relaxation from Alexandria. Energies are from GGA-PBE.

Results
As for the crystal system: tetragonal. Its total magnetization is 1.42 μB per cell. The formation energy from raw total energies is -1.6 eV per formula unit. For the volume, the calculation gives 106.6 Å³ per cell.

Unit cell a=7.4520 b=7.4523 c=3.9258 alpha=74.72 beta=74.73 gamma=30.54
Last column: magnetic moment on the atom in μB.
Sites, in units of the cell vectors:
K (0.0065, 0.0065, 0.9935)  0.03
Te (0.7109, 0.7109, 0.2891)  -0.01
Sc (0.2826, 0.2826, 0.7174)  0.64